Record 1
! K2BaNa2 | the Alexandria database | PBE-GGA | optimized geometry; values from VASP
&SYSTEM
  ibrav = 0, nat = 10, ntyp = 3
/
ATOMIC_SPECIES
K 39.10 K.upf
Ba 137.33 Ba.upf
Na 22.99 Na.upf
ATOMIC_POSITIONS angstrom
K 1.8555 3.6803 0.0000
K 3.6803 9.2160 0.0000
K 7.3912 1.8555 0.0000
K 9.2160 7.3912 0.0000
Ba 0.0000 0.0000 2.2904
Ba 5.5357 5.5357 2.2904
Na 1.4238 6.9596 2.2904
Na 4.1119 1.4238 2.2904
Na 6.9596 9.6476 2.2904
Na 9.6476 4.1119 2.2904
CELL_PARAMETERS angstrom
11.0715 0.0000 0.0000
0.0000 11.0715 0.0000
0.0000 0.0000 4.5808
! Energy above the lowest structure with this stoichiometry ... 45 meV/atom
! SG ... P4/mbm
! Total DFT energy (no corrections) ... -12.81 eV for the cell shown

***

Record 2
! K3BaNa | the Alexandria database | PBE-GGA | optimized geometry; values from VASP
&SYSTEM
  ibrav = 0, nat = 5, ntyp = 3
/
ATOMIC_SPECIES
K 39.10 K.upf
Ba 137.33 Ba.upf
Na 22.99 Na.upf
ATOMIC_POSITIONS angstrom
K 0.0000 0.0000 3.5091
K 0.0000 3.5091 0.0000
K 3.5091 0.0000 0.0000
Ba 3.5091 3.5091 3.5091
Na 0.0000 0.0000 0.0000
CELL_PARAMETERS angstrom
7.0182 0.0000 0.0000
0.0000 7.0182 0.0000
0.0000 0.0000 7.0182
! Energy above the lowest structure with this stoichiometry ... 0 meV/atom
! SG ... Pm-3m
! Total DFT energy (no corrections) ... -5.53 eV for the cell shown

***

Record 3
! KBaNa | the Alexandria database | PBE-GGA | optimized geometry; values from VASP
&SYSTEM
  ibrav = 0, nat = 3, ntyp = 3
/
ATOMIC_SPECIES
K 39.10 K.upf
Ba 137.33 Ba.upf
Na 22.99 Na.upf
ATOMIC_POSITIONS angstrom
K 0.0000 0.0000 0.0000
Ba 4.5943 4.5943 4.5943
Na 6.8915 6.8915 6.8915
CELL_PARAMETERS angstrom
0.0000 4.5943 4.5943
4.5943 0.0000 4.5943
4.5943 4.5943 0.0000
! Energy above the lowest structure with this stoichiometry ... 184 meV/atom
! SG ... F-43m
! Total DFT energy (no corrections) ... -3.73 eV for the cell shown

***

Record 4
! K5BaNa2 | the Alexandria database | PBE-GGA | optimized geometry; values from VASP
&SYSTEM
  ibrav = 0, nat = 8, ntyp = 3
/
ATOMIC_SPECIES
K 39.10 K.upf
Ba 137.33 Ba.upf
Na 22.99 Na.upf
ATOMIC_POSITIONS angstrom
K 0.0000 0.0000 0.0000
K 5.7386 3.6566 1.5666
K 9.9414 3.6566 2.7388
K 5.7386 -3.6566 1.5666
K 9.9414 -3.6566 2.7388
Ba 8.4262 0.0000 0.0000
Na 4.2383 0.0000 1.1934
Na 11.4417 0.0000 3.1120
CELL_PARAMETERS angstrom
8.4262 -6.8108 0.0000
8.4262 6.8108 0.0000
-1.1725 0.0000 4.3054
! SG ... C2/m
! Total DFT energy (no corrections) ... -9.64 eV for the cell shown

***

Record 5
! KBaNa6 | the Alexandria database | PBE-GGA | optimized geometry; values from VASP
&SYSTEM
  ibrav = 0, nat = 8, ntyp = 3
/
ATOMIC_SPECIES
K 39.10 K.upf
Ba 137.33 Ba.upf
Na 22.99 Na.upf
ATOMIC_POSITIONS angstrom
K 0.0000 0.0000 0.0000
Ba 3.1829 0.0000 9.5439
Na 0.0000 -1.8206 3.6231
Na 0.0000 1.8206 3.6231
Na 0.0000 0.0000 6.9886
Na 3.1829 0.0000 2.5496
Na 3.1829 -1.8086 5.9242
Na 3.1829 1.8086 5.9242
CELL_PARAMETERS angstrom
6.3658 0.0000 0.0000
0.0000 4.1459 6.8837
0.0000 -4.1459 6.8837
! Energy above the lowest structure with this stoichiometry ... 8 meV/atom
! SG ... Amm2
! Total DFT energy (no corrections) ... -10.64 eV for the cell shown

***

Record 6
! K2BaNa | the Alexandria database | PBE-GGA | optimized geometry; values from VASP
&SYSTEM
  ibrav = 0, nat = 4, ntyp = 3
/
ATOMIC_SPECIES
K 39.10 K.upf
Ba 137.33 Ba.upf
Na 22.99 Na.upf
ATOMIC_POSITIONS angstrom
K 0.0000 0.0000 0.0000
K 0.0000 0.0000 7.7735
Ba 0.0000 0.0000 18.3374
Na 0.0000 0.0000 25.5655
CELL_PARAMETERS angstrom
2.2179 1.2805 14.4515
-2.2179 1.2805 14.4515
0.0000 -2.5610 14.4515
! Energy above the lowest structure with this stoichiometry ... 36 meV/atom
! SG ... R3m
! Total DFT energy (no corrections) ... -5.13 eV for the cell shown

***

Record 7
! K2BaNa | the Alexandria database | PBE-GGA | optimized geometry; values from VASP
&SYSTEM
  ibrav = 0, nat = 4, ntyp = 3
/
ATOMIC_SPECIES
K 39.10 K.upf
Ba 137.33 Ba.upf
Na 22.99 Na.upf
ATOMIC_POSITIONS angstrom
K 2.4826 2.4826 2.4826
K 7.4478 7.4478 7.4478
Ba 0.0000 0.0000 0.0000
Na 4.9652 4.9652 4.9652
CELL_PARAMETERS angstrom
0.0000 4.9652 4.9652
4.9652 0.0000 4.9652
4.9652 4.9652 0.0000
! Energy above the lowest structure with this stoichiometry ... 101 meV/atom
! SG ... Fm-3m
! Total DFT energy (no corrections) ... -4.87 eV for the cell shown

***

Record 8
! KBa2Na | the Alexandria database | PBE-GGA | optimized geometry; values from VASP
&SYSTEM
  ibrav = 0, nat = 8, ntyp = 3
/
ATOMIC_SPECIES
K 39.10 K.upf
Ba 137.33 Ba.upf
Na 22.99 Na.upf
ATOMIC_POSITIONS angstrom
K 0.0000 0.0000 0.0000
K 0.0000 5.4077 2.1114
Ba 2.7039 -2.4027 3.1671
Ba 3.0051 2.7039 1.0557
Ba 2.7039 7.8104 -1.0557
Ba 2.4027 2.7039 5.2785
Na 5.4077 0.0000 2.1114
Na 0.0000 0.0000 4.2228
CELL_PARAMETERS angstrom
-5.4077 5.4077 4.2228
5.4077 -5.4077 4.2228
5.4077 5.4077 -4.2228
! SG ... I-42d
! Total DFT energy (no corrections) ... -10.80 eV for the cell shown

***

Record 9
! K3BaNa | the Alexandria database | PBE-GGA | optimized geometry; values from VASP
&SYSTEM
  ibrav = 0, nat = 5, ntyp = 3
/
ATOMIC_SPECIES
K 39.10 K.upf
Ba 137.33 Ba.upf
Na 22.99 Na.upf
ATOMIC_POSITIONS angstrom
K 0.0000 0.0000 3.9957
K 0.0000 3.9957 0.0000
K 3.9957 0.0000 0.0000
Ba 0.0000 0.0000 0.0000
Na 3.9957 3.9957 3.9957
CELL_PARAMETERS angstrom
7.9913 0.0000 0.0000
0.0000 7.9913 0.0000
0.0000 0.0000 7.9913
! Energy above the lowest structure with this stoichiometry ... 332 meV/atom
! SG ... Pm-3m
! Total DFT energy (no corrections) ... -3.87 eV for the cell shown

***

Record 10
! K2BaNa2 | the Alexandria database | PBE-GGA | optimized geometry; values from VASP
&SYSTEM
  ibrav = 0, nat = 5, ntyp = 3
/
ATOMIC_SPECIES
K 39.10 K.upf
Ba 137.33 Ba.upf
Na 22.99 Na.upf
ATOMIC_POSITIONS angstrom
K 2.8561 0.0000 4.3497
K 0.0000 2.8561 4.3497
Ba 0.0000 0.0000 0.0000
Na 0.0000 0.0000 7.0971
Na 0.0000 0.0000 10.3019
CELL_PARAMETERS angstrom
-2.8561 2.8561 8.6995
2.8561 -2.8561 8.6995
2.8561 2.8561 -8.6995
! Energy above the lowest structure with this stoichiometry ... 60 meV/atom
! SG ... I4/mmm
! Total DFT energy (no corrections) ... -6.33 eV for the cell shown

***

Record 11
! KBa2Na | the Alexandria database | PBE-GGA | optimized geometry; values from VASP
&SYSTEM
  ibrav = 0, nat = 4, ntyp = 3
/
ATOMIC_SPECIES
K 39.10 K.upf
Ba 137.33 Ba.upf
Na 22.99 Na.upf
ATOMIC_POSITIONS angstrom
K 0.0000 0.0000 0.0000
Ba 0.0000 0.0000 4.2373
Ba 0.0000 0.0000 40.4747
Na 0.0000 0.0000 22.3560
CELL_PARAMETERS angstrom
2.1837 1.2608 14.9040
-2.1837 1.2608 14.9040
0.0000 -2.5215 14.9040
! SG ... R-3m
! Total DFT energy (no corrections) ... -5.73 eV for the cell shown

***

Record 12
! K2BaNa5 | the Alexandria database | PBE-GGA | optimized geometry; values from VASP
&SYSTEM
  ibrav = 0, nat = 8, ntyp = 3
/
ATOMIC_SPECIES
K 39.10 K.upf
Ba 137.33 Ba.upf
Na 22.99 Na.upf
ATOMIC_POSITIONS angstrom
K 0.0000 0.0000 5.2246
K 0.0000 0.0000 15.8995
Ba 0.0000 0.0000 10.5620
Na 0.0000 0.0000 0.0000
Na 3.0457 0.0000 2.4964
Na 3.0457 0.0000 8.0657
Na 0.0000 3.0457 2.4964
Na 0.0000 3.0457 8.0657
CELL_PARAMETERS angstrom
-3.0457 3.0457 10.5620
3.0457 -3.0457 10.5620
3.0457 3.0457 -10.5620
! SG ... I4/mmm
! Total DFT energy (no corrections) ... -10.40 eV for the cell shown

***

Computed values of calculated volume (unit: Å³/cell) for the preceding records, in sequence: 561.51, 345.68, 193.95, 494.17, 363.36, 246.26, 244.81, 493.96, 510.34, 283.86, 246.19, 391.90.
Computed values of E_form (unit: meV/atom) for the preceding records, in sequence: 70.1, 200.4, 202.6, 50.6, 36.9, 76.7, 141.8, 215.4, 532.2, 85.9, 132.4, 38.5.